(1)
Below is an optimized crystal structure of CaYIO2, with properties calculated at the GGA-PBE level.

Cell: 4.4521 4.4521 5.8875 Å, 90.00 90.00 90.00°
Closest atoms and distances in Å follow each position.
Fractional coordinates of all 5 atoms:
Y  0.0000  0.0000  0.0000  4 O 2.23
O  0.0000  0.5000  0.0000  2 Y 2.23
O  0.5000  0.0000  0.0000  2 Y 2.23
Ca  0.5000  0.5000  0.5000  4 I 3.15
I  0.0000  0.0000  0.5000  2 Y 2.94, 4 Ca 3.15

Summary:
Offset from the most stable computed form   0 meV per atom
Formation energy (no corrections)   -1861.8 meV per atom
Theoretical density   4.10 Mg/m³
Volume   117 Å³ per cell

=====

(2)
Below is an optimized crystal structure of Ca2ZnI2O2, with properties calculated at the GGA-PBE level.

Cell: 4.0526 4.0526 10.6519 Å, 100.97 100.97 90.00°
Closest atoms and distances in Å follow each position.
Fractional coordinates of all 7 atoms:
Ca  0.4264  0.4264  0.8528  4 O 2.53
Ca  0.5736  0.5736  0.1472  4 O 2.53
I  0.8447  0.8447  0.6894  1 Zn 3.19, 4 Ca 3.32
I  0.1553  0.1553  0.3106  1 Zn 3.19, 4 Ca 3.32
O  0.0000  0.5000  0.0000  2 Zn 2.03
O  0.5000  0.0000  0.0000  2 Zn 2.03
Zn  0.0000  0.0000  0.0000  4 O 2.03

Summary:
Formation energy (no corrections)   -1882.1 meV per atom
Theoretical density   4.25 Mg/m³
Volume   168 Å³ per cell

=====

(3)
Below is an optimized crystal structure of CaZn2IO6, with properties calculated at the GGA-PBE level.

Cell: 5.4526 5.4526 6.0920 Å, 63.41 63.41 60.00°
Closest atoms and distances in Å follow each position.
Fractional coordinates of all 10 atoms:
O  0.2266  0.9314  0.2462  1 Zn 1.93, 1 I 2.15
O  0.1103  0.3826  0.8139  1 I 1.93, 1 Zn 2.07
O  0.3826  0.6933  0.8139  1 I 1.93, 1 Zn 2.07
O  0.6933  0.1103  0.8138  1 I 1.93, 1 Zn 2.07
O  0.5958  0.2265  0.2462  1 Zn 1.93, 1 I 2.15
O  0.9314  0.5958  0.2463  1 Zn 1.93, 1 I 2.15
Ca  0.8097  0.8097  0.5710  6 O 2.36-2.41
Zn  0.5778  0.5778  0.2665  3 O 1.93
Zn  0.0090  0.0091  0.9729  6 O 2.07-2.23
I  0.3251  0.3251  0.0246  6 O 1.93-2.15

Summary:
Formation energy (no corrections)   -1272.4 meV per atom
Theoretical density   4.87 Mg/m³
Volume   134 Å³ per cell

=====

(4)
Below is an optimized crystal structure of Ca2ZnIO6, with properties calculated at the GGA-PBE level.

Cell: 5.6479 5.6480 5.7124 Å, 60.37 60.37 60.00°
Closest atoms and distances in Å follow each position.
Fractional coordinates of all 10 atoms:
Zn  0.8103  0.8103  0.5691  6 O 2.08-2.21
O  0.9883  0.5751  0.2716  1 I 2.00, 1 Zn 2.21
O  0.0976  0.4680  0.7797  1 I 2.03, 1 Zn 2.08
O  0.4680  0.6547  0.7797  1 I 2.03, 1 Zn 2.08
O  0.5751  0.1650  0.2716  1 I 2.00, 1 Zn 2.21
O  0.6547  0.0976  0.7797  1 I 2.03, 1 Zn 2.08
O  0.1650  0.9883  0.2716  1 I 2.00, 1 Zn 2.21
I  0.3177  0.3177  0.0469  6 O 2.00-2.03
Ca  0.0411  0.0411  0.8766  6 O 2.34-2.52
Ca  0.5437  0.5437  0.3688  6 O 2.37-2.51

Summary:
Formation energy (no corrections)   -1629.3 meV per atom
Theoretical density   4.72 Mg/m³
Volume   130 Å³ per cell

=====

(5)
Below is an optimized crystal structure of CaZrI2O, with properties calculated at the GGA-PBE level.

Cell: 6.0151 6.0151 4.0386 Å, 90.00 90.00 90.00°
Closest atoms and distances in Å follow each position.
Fractional coordinates of all 5 atoms:
I  0.0000  0.5000  0.0000  2 Zr 3.01
I  0.5000  0.0000  0.0000  2 Zr 3.01
O  0.0000  0.0000  0.5000  2 Zr 2.02
Zr  0.0000  0.0000  0.0000  2 O 2.02
Ca  0.5000  0.5000  0.5000  8 I 3.62, 2 Ca 4.04

Summary:
Offset from the most stable computed form   0 meV per atom
Formation energy (no corrections)   -1281.9 meV per atom
Theoretical density   4.56 Mg/m³
Volume   146 Å³ per cell

=====

(6)
Below is an optimized crystal structure of CaZrI2O, with properties calculated at the GGA-PBE level.

Cell: 6.0135 6.0135 4.0610 Å, 90.00 90.00 90.00°
Closest atoms and distances in Å follow each position.
Fractional coordinates of all 5 atoms:
I  0.0000  0.5000  0.0000  2 Ca 3.01
I  0.5000  0.0000  0.0000  2 Ca 3.01
O  0.0000  0.0000  0.5000  2 Ca 2.03
Ca  0.0000  0.0000  0.0000  2 O 2.03
Zr  0.5000  0.5000  0.5000  8 I 3.63, 2 Zr 4.06

Summary:
Offset from the most stable computed form   775 meV per atom
Formation energy (no corrections)   -506.8 meV per atom
Theoretical density   4.54 Mg/m³
Volume   147 Å³ per cell

=====

(7)
Below is an optimized crystal structure of CaZrIO6, with properties calculated at the GGA-PBE level.

Cell: 5.5025 5.5025 10.0114 Å, 90.00 90.00 120.00°
Closest atoms and distances in Å follow each position.
Fractional coordinates of all 18 atoms:
O  0.3738  0.3575  0.3607  1 I 2.01, 1 Zr 2.13
O  0.3738  0.0162  0.1394  1 I 2.01, 1 Zr 2.13
O  0.0162  0.3738  0.6394  1 I 2.01, 1 Zr 2.13
O  0.6262  0.9838  0.8606  1 I 2.01, 1 Zr 2.13
O  0.6262  0.6425  0.6394  1 I 2.01, 1 Zr 2.13
O  0.3575  0.3738  0.8606  1 I 2.01, 1 Zr 2.13
O  0.0162  0.6425  0.8606  1 I 2.01, 1 Zr 2.13
O  0.9838  0.6262  0.3607  1 I 2.01, 1 Zr 2.13
O  0.6425  0.6262  0.1394  1 I 2.01, 1 Zr 2.13
O  0.3575  0.9838  0.6394  1 I 2.01, 1 Zr 2.13
O  0.6425  0.0162  0.3607  1 I 2.01, 1 Zr 2.13
O  0.9838  0.3575  0.1394  1 I 2.01, 1 Zr 2.13
I  0.6667  0.3333  0.2500  6 O 2.01
I  0.3333  0.6667  0.7500  6 O 2.01
Ca  0.0000  0.0000  0.5000  6 O 2.45
Ca  0.0000  0.0000  0.0000  6 O 2.45
Zr  0.3333  0.6667  0.2500  6 O 2.13
Zr  0.6667  0.3333  0.7500  6 O 2.13

Summary:
Formation energy (no corrections)   -1875.7 meV per atom
Theoretical density   4.48 Mg/m³
Volume   263 Å³ per cell

=====

(8)
Below is an optimized crystal structure of Ca2OsI, with properties calculated at the GGA-PBE level.

Cell: 5.2205 5.2205 5.2205 Å, 60.00 60.00 60.00°
Closest atoms and distances in Å follow each position.
Fractional coordinates of all 4 atoms:
I  0.0000  0.0000  0.0000  8 Ca 3.20
Ca  0.7500  0.7500  0.7500  4 I 3.20, 4 Os 3.20
Ca  0.2500  0.2500  0.2500  4 Os 3.20, 4 I 3.20
Os  0.5000  0.5000  0.5000  8 Ca 3.20

Summary:
Offset from the most stable computed form   0 meV per atom
Formation energy (no corrections)   222.1 meV per atom
Theoretical density   6.56 Mg/m³
Volume   101 Å³ per cell

=====

(9)
Below is an optimized crystal structure of CaOs2I, with properties calculated at the GGA-PBE level.

Cell: 8.0495 8.0495 6.3026 Å, 50.31 50.31 90.00°
Closest atoms and distances in Å follow each position.
Fractional coordinates of all 8 atoms:
I  0.0000  0.0000  0.0000  4 Os 2.68, 2 Ca 2.71
I  0.7500  0.2500  0.5000  4 Os 2.68, 2 Ca 2.71
Os  0.0784  0.6250  0.2500  2 I 2.68, 2 Os 2.81
Os  0.3750  0.3284  0.7500  2 I 2.68, 2 Os 2.81
Os  0.6716  0.1250  0.2500  2 I 2.68, 2 Os 2.81
Os  0.8750  0.9216  0.7500  2 I 2.68, 2 Os 2.81
Ca  0.5000  0.5000  0.0000  2 I 2.71
Ca  0.2500  0.7500  0.5000  2 I 2.71

Summary:
Offset from the most stable computed form   130 meV per atom
Formation energy (no corrections)   1324.7 meV per atom
Theoretical density   10.37 Mg/m³
Volume   175 Å³ per cell

=====

(10)
Below is an optimized crystal structure of Ca2OsI, with properties calculated at the GGA-PBE level.

Cell: 8.1117 8.1117 6.6121 Å, 52.16 52.16 90.00°
Closest atoms and distances in Å follow each position.
Fractional coordinates of all 8 atoms:
Ca  0.0769  0.6250  0.2500  2 Os 2.73
Ca  0.3750  0.3269  0.7500  2 Os 2.73
Ca  0.8750  0.9231  0.7500  2 Os 2.73
Ca  0.6731  0.1250  0.2500  2 Os 2.73
I  0.5000  0.5000  0.0000  8 Ca 3.26-3.59, 2 Os 3.29
I  0.2500  0.7500  0.5000  8 Ca 3.26-3.59, 2 Os 3.29
Os  0.0000  0.0000  0.0000  4 Ca 2.73
Os  0.7500  0.2500  0.5000  4 Ca 2.73

Summary:
Offset from the most stable computed form   120 meV per atom
Formation energy (no corrections)   342.4 meV per atom
Theoretical density   6.10 Mg/m³
Volume   216 Å³ per cell

=====

(11)
Below is an optimized crystal structure of CaOsI3, with properties calculated at the GGA-PBE level.

Cell: 5.4350 5.4350 5.4350 Å, 90.00 90.00 90.00°
Closest atoms and distances in Å follow each position.
Fractional coordinates of all 5 atoms:
I  0.0000  0.5000  0.0000  2 Os 2.72
I  0.5000  0.0000  0.0000  2 Os 2.72
I  0.0000  0.0000  0.5000  2 Os 2.72
Ca  0.5000  0.5000  0.5000  12 I 3.84
Os  0.0000  0.0000  0.0000  6 I 2.72

Summary:
Offset from the most stable computed form   0 meV per atom
Formation energy (no corrections)   125.3 meV per atom
Theoretical density   6.32 Mg/m³
Volume   161 Å³ per cell

=====

(12)
Below is an optimized crystal structure of CaOs2I, with properties calculated at the GGA-PBE level.

Cell: 4.7105 4.7105 4.7105 Å, 60.00 60.00 60.00°
Closest atoms and distances in Å follow each position.
Fractional coordinates of all 4 atoms:
Ca  0.0000  0.0000  0.0000  8 Os 2.88
Os  0.2500  0.2500  0.2500  4 I 2.88, 4 Ca 2.88
Os  0.7500  0.7500  0.7500  4 Ca 2.88, 4 I 2.88
I  0.5000  0.5000  0.5000  8 Os 2.88

Summary:
Offset from the most stable computed form   0 meV per atom
Formation energy (no corrections)   1194.2 meV per atom
Theoretical density   12.30 Mg/m³
Volume   74 Å³ per cell

=====

(13)
Below is an optimized crystal structure of CaSb2OsI, with properties calculated at the GGA-PBE level.

Cell: 5.1088 5.1088 5.9181 Å, 90.00 90.00 90.00°
Closest atoms and distances in Å follow each position.
Fractional coordinates of all 5 atoms:
I  0.0000  0.0000  0.5000  2 Os 2.96
Sb  0.5000  0.0000  0.0000  2 Os 2.55
Sb  0.0000  0.5000  0.0000  2 Os 2.55
Os  0.0000  0.0000  0.0000  4 Sb 2.55
Ca  0.5000  0.5000  0.5000  4 I 3.61, 8 Sb 3.91

Summary:
Offset from the most stable computed form   0 meV per atom
Formation energy (no corrections)   189.3 meV per atom
Theoretical density   6.46 Mg/m³
Volume   154 Å³ per cell